Entry from Alexandria: an optimized crystal structure of TbZn2GaIr (PBE-GGA).

abc: 3.7972 4.2739 11.0973
angles: 90.00 90.00 90.00
Last column: nearest neighbours and their distance in Å.
Space group Imm2 (No. 44)
One atom of each set of equivalent atoms:
Tb (0.0000, 0.0000, 0.0000) x2  6 Zn 3.07-3.35, 2 Ir 3.15, 4 Ga 3.17
Zn (0.0000, 0.0000, 0.6003) x2  1 Ga 2.48, 2 Zn 2.53, 2 Ir 2.56
Zn (0.0000, 0.5000, 0.2509) x2  2 Zn 2.53, 2 Ga 2.55
Ga (0.0000, 0.0000, 0.3766) x2  3 Zn 2.48-2.55, 2 Ir 2.53
Ir (0.0000, 0.5000, 0.7265) x2  2 Ga 2.53, 2 Zn 2.56


Entry from Alexandria: an optimized crystal structure of K5Tl2Au4 (PBE-GGA).

abc: 26.3474 4.5508 7.2715
angles: 90.00 92.81 90.00
Last column: nearest neighbours and their distance in Å.
Space group C2/m (No. 12)
One atom of each set of equivalent atoms:
K (0.0000, 0.0000, 0.0000) x2  4 Au 3.27
K (0.1326, 0.5000, 0.1526) x4  3 Au 3.26-3.42
K (0.2298, 0.5000, 0.7117) x4  3 Au 3.38-3.54, 1 Tl 3.66
Tl (0.0912, 0.5000, 0.6383) x4  4 Au 2.92-2.99
Au (0.0198, 0.5000, 0.3186) x4  1 Au 2.88, 2 Tl 2.92-2.96
Au (0.1521, 0.0000, 0.5002) x4  2 Tl 2.99


Entry from Alexandria: an optimized crystal structure of La3InRu (PBE-GGA).

Properties
ΔE to the lowest computed polymorph, meV per atom: 691

abc: 6.6873 17.1764 5.5523
angles: 90.00 90.00 90.00
Last column: nearest neighbours and their distance in Å.
Space group Cmcm (No. 63)
One atom of each set of equivalent atoms:
La (0.0000, 0.0000, 0.0000) x4  2 La 2.78
La (0.2272, 0.3516, 0.2500) x8  1 Ru 2.95, 1 La 3.04
In (0.0000, 0.1795, 0.2500) x4  8 La 3.32-3.38
Ru (0.0000, 0.4986, 0.2500) x4  2 Ru 2.78, 2 La 2.95


Entry from Alexandria: an optimized crystal structure of LaSm2Th (PBE-GGA).

Properties
ΔE to the lowest computed polymorph, meV per atom: 86

abc: 3.5623 3.5623 37.7117
angles: 90.00 90.00 120.00
Last column: nearest neighbours and their distance in Å.
Space group R-3m (No. 166, hexagonal axes)
One atom of each set of equivalent atoms:
La (0.0000, 0.0000, 0.0000) x3  2 Sm 3.46, 6 La 3.56
Sm (0.0000, 0.0000, 0.0918) x6  1 La 3.46, 3 Th 3.49, 6 Sm 3.56
Th (0.0000, 0.0000, 0.5000) x3  6 Sm 3.49, 6 Th 3.56


Entry from Alexandria: an optimized crystal structure of Pr2DySc (PBE-GGA).

Properties
ΔE to the lowest computed polymorph, meV per atom: 22

abc: 3.5817 3.5817 34.4456
angles: 90.00 90.00 120.00
Last column: nearest neighbours and their distance in Å.
Space group R3m (No. 160, hexagonal axes)
One atom of each set of equivalent atoms:
Pr (0.0000, 0.0000, 0.0000) x3  3 Sc 3.45, 6 Pr 3.58, 3 Dy 3.59
Pr (0.0000, 0.0000, 0.1722) x3  3 Sc 3.48, 6 Pr 3.58, 3 Dy 3.64
Dy (0.0000, 0.0000, 0.4186) x3  6 Dy 3.58, 6 Pr 3.59-3.64
Sc (0.0000, 0.0000, 0.5866) x3  6 Pr 3.45-3.48, 6 Sc 3.58


Entry from Alexandria: an optimized crystal structure of Ho5ErBi5 (PBE-GGA).

abc: 13.8571 6.2380 8.7983
angles: 90.00 108.52 90.00
Last column: nearest neighbours and their distance in Å.
Space group C2/m (No. 12)
One atom of each set of equivalent atoms:
Ho (0.0000, 0.0000, 0.0000) x2  4 Bi 3.09-3.12
Ho (0.1626, 0.5000, 0.3262) x4  5 Bi 3.10-3.16
Ho (0.1647, 0.5000, 0.8361) x4  5 Bi 3.09-3.12
Er (0.0000, 0.0000, 0.5000) x2  6 Bi 3.11-3.14
Bi (0.0000, 0.5000, 0.5000) x2  4 Ho 3.10-3.11, 2 Er 3.12
Bi (0.1663, 0.0000, 0.8345) x4  5 Ho 3.09-3.12, 1 Er 3.11
Bi (0.1695, 0.0000, 0.3335) x4  5 Ho 3.11-3.16, 1 Er 3.14


What did we get for formation energy from the elements? Answer: -423; -115; 274; 109; 62; -634 meV/atom, in the order shown.